1.
## Er2Tm3Se8 (PBE-GGA)

Data for a relaxed structure of Er2Tm3Se8.

Unit cell a=8.1499 b=8.1499 c=6.9039 alpha=106.73 beta=106.73 gamma=59.55
With the nearest neighbours (Å) after each atom.
Element x y z (fractional)
Er 0.2428 0.2428 0.1636  6 Se 2.80-2.89
Er 0.7572 0.7572 0.8364  6 Se 2.80-2.89
Tm 0.2392 0.7608 0.5000  6 Se 2.78-2.85
Tm 0.5000 0.5000 0.0000  6 Se 2.80-2.84
Tm 0.7608 0.2392 0.5000  6 Se 2.78-2.85
Se 0.1191 0.1191 0.4075  2 Tm 2.78, 1 Er 2.80
Se 0.1372 0.6172 0.0866  2 Tm 2.80-2.81, 2 Er 2.89
Se 0.3819 0.3819 0.5779  3 Tm 2.84-2.85, 1 Er 2.88
Se 0.3828 0.8628 0.9134  2 Tm 2.80-2.81, 2 Er 2.89
Se 0.6172 0.1372 0.0866  2 Tm 2.80-2.81, 2 Er 2.89
Se 0.6181 0.6181 0.4221  3 Tm 2.84-2.85, 1 Er 2.88
Se 0.8628 0.3828 0.9134  2 Tm 2.80-2.81, 2 Er 2.89
Se 0.8809 0.8809 0.5925  2 Tm 2.78, 1 Er 2.80

Properties
Formation energy (no corrections) (eV per atom): -1.697
Mass density (Mg/m³): 6.558
Volume (Å³ per cell): 373
Space group: C2/m (12)

=====

2.
## CaScAg2 (PBE-GGA)

Data for a relaxed structure of CaScAg2.

Unit cell a=6.1628 b=6.1628 c=6.1628 alpha=147.73 beta=132.27 gamma=58.79
With the nearest neighbours (Å) after each atom.
Element x y z (fractional)
Ca 0.0000 0.0000 0.0000  6 Ag 3.04-3.25, 2 Sc 3.36
Sc 0.2904 0.7904 0.5000  6 Ag 3.04-3.07, 2 Ca 3.36
Ag 0.5245 0.5245 0.0000  2 Ag 2.90, 4 Ca 3.04, 2 Sc 3.04
Ag 0.7423 0.2423 0.5000  2 Ag 2.90, 4 Sc 3.07

Properties
Mass density (Mg/m³): 5.445
Volume (Å³ per cell): 92
ΔH_f (0 K) (eV/atom): -0.121
Space group: Imm2 (44)

=====

3.
## MgHS2 (PBE-GGA)

Data for a relaxed structure of MgHS2.

Unit cell a=7.3226 b=7.3226 c=7.3226 alpha=25.88 beta=25.88 gamma=25.88
With the nearest neighbours (Å) after each atom.
Element x y z (fractional)
Mg 0.0000 0.0000 0.0000  2 S 2.33
H 0.5000 0.5000 0.5000  6 S 2.24
S 0.1099 0.1099 0.1099  3 H 2.24, 1 Mg 2.33
S 0.8901 0.8901 0.8901  3 H 2.24, 1 Mg 2.33

Properties
Mass density (Mg/m³): 2.255
Volume (Å³ per cell): 66
Offset from the most stable computed form (meV per atom): 1095
Space group: R-3m (166)

=====

4.
## Zr2CdReSe (PBE-GGA)

Data for a relaxed structure of Zr2CdReSe.

Unit cell a=5.1818 b=5.1818 c=4.7056 alpha=90.00 beta=90.00 gamma=90.00
With the nearest neighbours (Å) after each atom.
Element x y z (fractional)
Zr 0.0000 0.5000 0.0000  2 Re 2.59
Zr 0.5000 0.0000 0.0000  2 Re 2.59
Cd 0.0000 0.0000 0.5000  8 Zr 3.50, 4 Se 3.66
Re 0.5000 0.5000 0.0000  2 Se 2.35, 4 Zr 2.59
Se 0.5000 0.5000 0.5000  2 Re 2.35

Properties
Formation energy (no corrections) (eV per atom): 0.486
Mass density (Mg/m³): 7.360
Volume (Å³ per cell): 126
Space group: P4/mmm (123)